A PBEsol-optimized structure of Y2ScAl, computed with SCAN.

The structure belongs to space group I-4m2 (No. 119); the cell edges are 4.5212, 4.5212 and 9.5111 Å and the angles 90.00°, 90.00° and 90.00°. The inequivalent atoms are Y at (0.0000, 0.0000, 0.0000), Y at (0.0000, 0.5000, 0.2500), Sc at (0.0000, 0.5000, 0.7500) and Al at (0.0000, 0.0000, 0.5000).

Its formation energy from the elements is -51 kJ/mol of formula units.

---

A PBEsol-optimized structure of SmCoSb2, computed with SCAN.

The structure belongs to space group P4/nmm (No. 129, origin choice 2); the cell edges are 4.2940, 4.2940 and 9.5193 Å and the angles 90.00°, 90.00° and 90.00°. The inequivalent atoms are Sm at (0.2500, 0.2500, 0.2401), Co at (0.2500, 0.7500, 0.0000), Sb at (0.2500, 0.2500, 0.8621) and Sb at (0.2500, 0.7500, 0.5000).

The calculation puts the uncorrected formation energy at -675 meV per atom.

---

A PBEsol-optimized structure of Cd2AgAu, computed with SCAN.

The structure belongs to space group I4/mmm (No. 139); the cell edges are 4.3841, 4.3841 and 7.5184 Å and the angles 90.00°, 90.00° and 90.00°. The inequivalent atoms are Cd at (0.0000, 0.5000, 0.2500), Ag at (0.0000, 0.0000, 0.0000) and Au at (0.0000, 0.0000, 0.5000).

Its formation energy from the elements is -68 kJ/mol of formula units. Its polymorph energy (0 for the lowest one) is 3 meV/atom.

---

Results for magnetic moment: 0.0; 2.3; 0.0 (in Bohr magnetons per cell, following the order of the records).